(P)
The following is a PBE-GGA calculation of a relaxed Li2Ho3Cd4 crystal, from Alexandria.

Summary:
Symmetry = C2/m
Theoretical density = 7.5 g/cm³
Size of the total moment = 0.000 μB/f.u.

Cell: 5.2258 5.2258 9.1028 Å, 96.72 96.72 59.73°
Sites, in units of the cell vectors:
Li (0.2148, 0.2148, 0.4088)
Li (0.7852, 0.7852, 0.5912)
Ho (0.1337, 0.1337, 0.7500)
Ho (0.5000, 0.5000, 0.0000)
Ho (0.8663, 0.8663, 0.2500)
Cd (0.1838, 0.1838, 0.1042)
Cd (0.4536, 0.4536, 0.6451)
Cd (0.5464, 0.5464, 0.3549)
Cd (0.8162, 0.8162, 0.8958)

---

(Q)
The following is a PBE-GGA calculation of a relaxed Li2Ho3Cd4 crystal, from Alexandria.

Summary:
Symmetry = C2/m
Theoretical density = 7.6 g/cm³
Size of the total moment = 0.000 μB/f.u.

Cell: 5.9423 5.9423 9.2566 Å, 119.07 119.07 49.51°
Sites, in units of the cell vectors:
Li (0.1139, 0.1139, 0.2824)
Li (0.8861, 0.8861, 0.7176)
Ho (0.1656, 0.1656, 0.6680)
Ho (0.5000, 0.5000, 0.0000)
Ho (0.8344, 0.8344, 0.3320)
Cd (0.2170, 0.2170, 0.0591)
Cd (0.4368, 0.4368, 0.6098)
Cd (0.5632, 0.5632, 0.3902)
Cd (0.7830, 0.7830, 0.9409)

---

Which structure is the most stable? The one labeled (P).

---

(P)
The following is a PBE-GGA calculation of a relaxed Li3Ho2Cd4 crystal, from Alexandria.

Summary:
Symmetry = Cmce
Theoretical density = 6.7 g/cm³
Size of the total moment = 0.000 μB/f.u.

Cell: 8.4975 8.4975 8.3572 Å, 90.00 90.00 139.17°
Sites, in units of the cell vectors:
Li (0.0000, 0.0000, 0.0000)
Li (0.0257, 0.4743, 0.2500)
Li (0.4743, 0.0257, 0.7500)
Li (0.5000, 0.5000, 0.5000)
Li (0.5257, 0.9743, 0.2500)
Li (0.9743, 0.5257, 0.7500)
Ho (0.1103, 0.8897, 0.4090)
Ho (0.3897, 0.6103, 0.9090)
Ho (0.6103, 0.3897, 0.0910)
Ho (0.8897, 0.1103, 0.5910)
Cd (0.1812, 0.8188, 0.0283)
Cd (0.1952, 0.3048, 0.2500)
Cd (0.3048, 0.1952, 0.7500)
Cd (0.3188, 0.6812, 0.5283)
Cd (0.6812, 0.3188, 0.4717)
Cd (0.6952, 0.8048, 0.2500)
Cd (0.8048, 0.6952, 0.7500)
Cd (0.8188, 0.1812, 0.9717)

---

(Q)
The following is a PBE-GGA calculation of a relaxed Li3Ho2Cd4 crystal, from Alexandria.

Summary:
Symmetry = P-1
Theoretical density = 6.8 g/cm³
Size of the total moment = 0.000 μB/f.u.

Cell: 4.8259 5.5851 8.2982 Å, 76.72 89.74 64.61°
Sites, in units of the cell vectors:
Li (0.0000, 0.0000, 0.0000)
Li (0.3686, 0.2640, 0.4689)
Li (0.6314, 0.7360, 0.5311)
Ho (0.2510, 0.4956, 0.7936)
Ho (0.7490, 0.5044, 0.2064)
Cd (0.0795, 0.8409, 0.3615)
Cd (0.4337, 0.1327, 0.1605)
Cd (0.5663, 0.8673, 0.8395)
Cd (0.9205, 0.1591, 0.6385)

---

Which structure is the most stable? The one labeled (Q).